Entry 1:
VASP calculation (PBE) on a relaxed RbTl2SnRh crystal.

Computed properties:
ΔH_f (0 K) = -5 kJ per mole of atoms

Structure (CIF):
```
data_RbTl2SnRh
_chemical_formula_sum 'Rb1 Tl2 Sn1 Rh1'
_space_group_name_H-M_alt 'P 4/m m m'
_space_group_IT_number 123
_space_group_name_Hall '-P 4 2'
_cell_length_a 5.418
_cell_length_b 5.418
_cell_length_c 5.279
_cell_angle_alpha 90.00
_cell_angle_beta 90.00
_cell_angle_gamma 90.00
loop_
_atom_site_label
_atom_site_fract_x
_atom_site_fract_y
_atom_site_fract_z
Rb1 0.000 0.000 0.000
Tl1 0.000 0.500 0.500
Sn1 0.500 0.500 0.000
Rh1 0.500 0.500 0.500
```

Entry 2:
VASP calculation (PBE) on a relaxed CoBr2Cl crystal.

Computed properties:
Formation energy from raw total energies = 0.369 eV per atom

Structure (CIF):
```
data_CoBr2Cl
_chemical_formula_sum 'Co2 Br4 Cl2'
_space_group_name_H-M_alt 'C 1 2/m 1'
_space_group_IT_number 12
_cell_length_a 5.004
_cell_length_b 9.400
_cell_length_c 5.384
_cell_angle_alpha 90.00
_cell_angle_beta 117.33
_cell_angle_gamma 90.00
loop_
_space_group_symop_operation_xyz
'x,y,z'
'-x,-y,-z'
'-x,y,-z'
'x,-y,z'
'x+1/2,y+1/2,z'
'-x+1/2,-y+1/2,-z'
'-x+1/2,y+1/2,-z'
'x+1/2,-y+1/2,z'
loop_
_atom_site_label
_atom_site_fract_x
_atom_site_fract_y
_atom_site_fract_z
Co1 0.000 0.000 0.000
Br1 0.250 0.250 0.500
Cl1 0.000 0.500 0.000
```

Record order is preserved below.
Energy: -17.32 -21.65 eV/cell